1.
5
Lattice="4.8367 0.0000 0.0000 0.0000 4.8367 0.0000 0.0000 0.0000 4.1256" Properties=species:S:1:pos:R:3 comment="CaNiPS2 PBE-GGA relaxed" raw_formation_energy_mev_per_atom=-459 e_above_lowest_polymorph_mev_per_atom=0.0 dft_energy_ev_per_fu=-23.74 pbc="T T T"
Ca 0.0000 0.0000 0.0000
Ni 2.4183 2.4183 2.0628
P 2.4183 2.4183 0.0000
S 0.0000 2.4183 2.0628
S 2.4183 0.0000 2.0628

---

2.
8
Lattice="3.9544 0.0000 0.0000 0.0000 3.9544 0.0000 0.0000 0.0000 7.7729" Properties=species:S:1:pos:R:3 comment="CaNi4SbP2 PBE-GGA relaxed" raw_formation_energy_mev_per_atom=-561 dft_energy_ev_per_fu=-44.56 pbc="T T T"
Ca 0.0000 0.0000 0.0000
Ni 0.0000 1.9772 2.2554
Ni 0.0000 1.9772 5.5175
Ni 1.9772 0.0000 2.2554
Ni 1.9772 0.0000 5.5175
Sb 0.0000 0.0000 3.8865
P 1.9772 1.9772 1.1818
P 1.9772 1.9772 6.5911

---

3.
10
Lattice="5.1546 -2.9780 0.0000 5.1546 2.9780 0.0000 -3.4304 0.0000 5.1132" Properties=species:S:1:pos:R:3 comment="Ca2SiNi6P PBE-GGA relaxed" raw_formation_energy_mev_per_atom=-468 dft_energy_ev_per_fu=-54.21 pbc="T T T"
Ca 1.7191 0.0000 0.6735
Ca 5.1596 0.0000 4.4397
Si 5.1546 0.0000 0.0000
Ni 0.3196 0.0000 3.3131
Ni 2.4230 1.2149 3.3127
Ni 4.4557 1.2149 1.8006
Ni 2.4230 -1.2149 3.3127
Ni 4.4557 -1.2149 1.8006
Ni 6.5591 0.0000 1.8001
P -1.7152 0.0000 2.5566

---

4.
5
Lattice="5.1797 0.0000 0.0000 0.0000 5.1797 0.0000 0.0000 0.0000 5.2091" Properties=species:S:1:pos:R:3 comment="CaNiSn2P PBE-GGA relaxed" ef_mev_per_atom=422 dft_energy_ev_per_fu=-19.09 pbc="T T T"
Ca 0.0000 0.0000 0.0000
Ni 2.5898 2.5898 0.0000
Sn 0.0000 2.5898 2.6046
Sn 2.5898 0.0000 2.6046
P 0.0000 0.0000 2.6046

---

5.
8
Lattice="3.8979 0.0000 0.0000 0.0000 3.8979 0.0000 0.0000 0.0000 8.0114" Properties=species:S:1:pos:R:3 comment="CaNi4SnP2 PBE-GGA relaxed" ef_mev_per_atom=-536 dft_energy_ev_per_fu=-44.23 pbc="T T T"
Ca 0.0000 0.0000 0.0000
Ni 0.0000 1.9490 2.2742
Ni 0.0000 1.9490 5.7371
Ni 1.9490 0.0000 2.2742
Ni 1.9490 0.0000 5.7371
Sn 0.0000 0.0000 4.0057
P 1.9490 1.9490 1.1783
P 1.9490 1.9490 6.8330

---

6.
6
Lattice="3.8939 0.0000 0.0000 -1.9470 3.3723 0.0000 0.0000 0.0000 8.0209" Properties=species:S:1:pos:R:3 comment="CaTbNi2P2 PBE-GGA relaxed" ef_mev_per_atom=-1087 dft_energy_ev_per_fu=-35.54 pbc="T T T"
Ca 0.0000 0.0000 0.0000
Tb 0.0000 0.0000 4.0105
Ni 0.0000 2.2482 5.9386
Ni 1.9470 1.1241 2.0823
P 0.0000 2.2482 2.0685
P 1.9470 1.1241 5.9524

---

7.
10
Lattice="3.9909 0.0000 0.0000 0.0000 3.9909 0.0000 0.0000 0.0000 9.4629" Properties=species:S:1:pos:R:3 comment="Ca2TcNi3P4 PBE-GGA relaxed" ef_mev_per_atom=-796 dft_energy_ev_per_fu=-61.31 pbc="T T T"
Ca 0.0000 1.9955 2.2229
Ca 1.9955 0.0000 7.2401
Tc 0.0000 0.0000 4.7315
Ni 0.0000 1.9955 8.3518
Ni 1.9955 0.0000 1.1111
Ni 1.9955 1.9955 4.7315
P 0.0000 0.0000 0.0000
P 0.0000 1.9955 6.0269
P 1.9955 0.0000 3.4361
P 1.9955 1.9955 0.0000

---

8.
6
Lattice="3.9618 0.0000 0.0000 -1.9809 3.4310 0.0000 0.0000 0.0000 8.0405" Properties=species:S:1:pos:R:3 comment="CaThNi2P2 PBE-GGA relaxed" ef_mev_per_atom=-1105 dft_energy_ev_per_fu=-38.44 pbc="T T T"
Ca 0.0000 0.0000 0.0000
Th 0.0000 0.0000 4.0202
Ni 0.0000 2.2873 2.1095
Ni 1.9809 1.1437 5.9310
P 0.0000 2.2873 6.0351
P 1.9809 1.1437 2.0054

---

9.
5
Lattice="5.5305 0.0000 0.0000 0.0000 5.5305 0.0000 0.0000 0.0000 4.2157" Properties=species:S:1:pos:R:3 comment="Ca2TlNiP PBE-GGA relaxed" ef_mev_per_atom=-462 dft_energy_ev_per_fu=-19.87 pbc="T T T"
Ca 0.0000 2.7652 0.0000
Ca 2.7652 0.0000 0.0000
Tl 0.0000 0.0000 2.1078
Ni 2.7652 2.7652 2.1078
P 2.7652 2.7652 0.0000

---

10.
6
Lattice="3.8730 0.0000 0.0000 -1.9365 3.3541 0.0000 0.0000 0.0000 7.9327" Properties=species:S:1:pos:R:3 comment="CaTmNi2P2 PBE-GGA relaxed" ef_mev_per_atom=-1089 dft_energy_ev_per_fu=-35.39 pbc="T T T"
Ca 0.0000 0.0000 0.0000
Tm 0.0000 0.0000 3.9663
Ni 0.0000 2.2361 5.8363
Ni 1.9365 1.1180 2.0964
P 0.0000 2.2361 2.0754
P 1.9365 1.1180 5.8573

---

11.
6
Lattice="3.9193 0.0000 0.0000 -1.9597 3.3942 0.0000 0.0000 0.0000 7.7649" Properties=species:S:1:pos:R:3 comment="CaUNi2P2 PBE-GGA relaxed" ef_mev_per_atom=-910 dft_energy_ev_per_fu=-41.13 pbc="T T T"
Ca 0.0000 0.0000 0.0000
U 0.0000 0.0000 3.8824
Ni 0.0000 2.2628 2.1991
Ni 1.9597 1.1314 5.5657
P 0.0000 2.2628 5.7467
P 1.9597 1.1314 2.0181

---

12.
5
Lattice="-1.9335 1.9335 5.5281 1.9335 -1.9335 5.5281 1.9335 1.9335 -5.5281" Properties=species:S:1:pos:R:3 comment="CaVNiP2 PBE-GGA relaxed" ef_mev_per_atom=-849 dft_energy_ev_per_fu=-31.97 pbc="T T T"
Ca 0.0000 0.0000 0.0000
V 0.0000 1.9335 2.7640
Ni 1.9335 0.0000 2.7640
P 0.0000 0.0000 4.0266
P 0.0000 0.0000 7.0296